Entry 1:
Entry from Alexandria via LeMat-Bulk: a relaxed Dy6Hg2Pd crystal (GGA-PBE).

a b c (Å): 8.6150 8.6150 8.6150
angles (deg): 110.84 110.63 106.97
Last column: nearest neighbours and their distance in Å.
Atoms (fractional coordinates):
Dy (0.0722, 0.2443, 0.8279)  1 Pd 3.12, 3 Hg 3.15-3.33, 1 Dy 3.38
Dy (0.2286, 0.5571, 0.3285)  3 Hg 2.96-3.23, 1 Pd 3.25
Dy (0.2286, 0.9001, 0.6715)  3 Hg 2.96-3.23, 1 Pd 3.25
Dy (0.3140, 0.2370, 0.5510)  2 Pd 2.95-3.15, 2 Hg 3.04-3.21
Dy (0.3140, 0.7630, 0.0769)  2 Pd 2.95-3.15, 2 Hg 3.04-3.21
Dy (0.4164, 0.2443, 0.1721)  1 Pd 3.12, 3 Hg 3.15-3.33, 1 Dy 3.38
Dy (0.5836, 0.7557, 0.8279)  1 Pd 3.12, 3 Hg 3.15-3.33, 1 Dy 3.38
Dy (0.6860, 0.2370, 0.9231)  2 Pd 2.95-3.15, 2 Hg 3.04-3.21
Dy (0.6860, 0.7630, 0.4490)  2 Pd 2.95-3.15, 2 Hg 3.04-3.21
Dy (0.7714, 0.0999, 0.3285)  3 Hg 2.96-3.23, 1 Pd 3.25
Dy (0.7714, 0.4429, 0.6715)  3 Hg 2.96-3.23, 1 Pd 3.25
Dy (0.9278, 0.7557, 0.1721)  1 Pd 3.12, 3 Hg 3.15-3.33, 1 Dy 3.38
Hg (0.0000, 0.1438, 0.1438)  1 Hg 2.81, 2 Dy 2.96
Hg (0.0000, 0.8562, 0.8562)  1 Hg 2.81, 2 Dy 2.96
Hg (0.1495, 0.5000, 0.6495)  1 Hg 2.93, 8 Dy 3.04-3.23
Hg (0.8505, 0.5000, 0.3505)  1 Hg 2.93, 8 Dy 3.04-3.23
Pd (0.5000, 0.0000, 0.5000)  8 Dy 2.95-3.25
Pd (0.5000, 0.5000, 0.0000)  8 Dy 3.12-3.15, 2 Hg 3.44

Computed properties:
DOS(E_F): 0.921 states/eV/atom
offset from the most stable computed form: 0.0 kJ/mol of atoms
E_form: -0.340 eV/atom
calculated volume: 27.3 Å³ per atom
space group: Immm (71)
M_tot: 0.00 Bohr magnetons per cell


Entry 2:
Entry from Alexandria via LeMat-Bulk: a relaxed Dy2HgPd crystal (GGA-PBE).

a b c (Å): 3.5857 3.5857 7.3512
angles (deg): 90.00 90.00 90.00
Last column: nearest neighbours and their distance in Å.
Atoms (fractional coordinates):
Dy (0.0000, 0.0000, 0.2296)  4 Pd 3.05, 4 Hg 3.22, 1 Dy 3.38
Dy (0.0000, 0.0000, 0.7704)  4 Pd 3.05, 4 Hg 3.22, 1 Dy 3.38
Hg (0.5000, 0.5000, 0.5000)  8 Dy 3.22, 4 Hg 3.59
Pd (0.5000, 0.5000, 0.0000)  8 Dy 3.05

Computed properties:
DOS(E_F): 0.693 states/eV/atom
offset from the most stable computed form: 0.0 kJ/mol of atoms
E_form: -0.687 eV/atom
calculated volume: 23.6 Å³ per atom
space group: P4/mmm (123)
M_tot: 0.00 Bohr magnetons per cell


Entry 3:
Entry from Alexandria via LeMat-Bulk: a relaxed Dy2HgPd4 crystal (GGA-PBE).

a b c (Å): 9.6203 9.6203 9.6203
angles (deg): 155.53 155.53 34.88
Last column: nearest neighbours and their distance in Å.
Atoms (fractional coordinates):
Dy (0.1314, 0.1314, 0.0000)  8 Pd 2.89-2.98
Dy (0.8686, 0.8686, 0.0000)  8 Pd 2.89-2.98
Hg (0.5000, 0.5000, 0.0000)  2 Pd 2.67
Pd (0.2500, 0.7500, 0.5000)  8 Pd 2.80-2.88, 4 Dy 2.98
Pd (0.3545, 0.3545, 0.0000)  1 Hg 2.67, 4 Pd 2.80, 4 Dy 2.89
Pd (0.6455, 0.6455, 0.0000)  1 Hg 2.67, 4 Pd 2.80, 4 Dy 2.89
Pd (0.7500, 0.2500, 0.5000)  8 Pd 2.80-2.88, 4 Dy 2.98

Computed properties:
DOS(E_F): 0.618 states/eV/atom
E_form: -0.706 eV/atom
calculated volume: 21.8 Å³ per atom
space group: I4/mmm (139)
M_tot: 0.00 Bohr magnetons per cell